[1]
The following is a PBEsol calculation of a relaxed Rb2NaBi2 crystal, from Alexandria via LeMat-Bulk.

```
data_Rb2NaBi2
_chemical_formula_sum 'Rb4 Na2 Bi4'
_space_group_name_H-M_alt 'P 4/m b m'
_space_group_IT_number 127
_space_group_name_Hall '-P 4 2ab'
_cell_length_a 8.428
_cell_length_b 8.428
_cell_length_c 5.808
_cell_angle_alpha 90.00
_cell_angle_beta 90.00
_cell_angle_gamma 90.00
loop_
_atom_site_label
_atom_site_type_symbol
_atom_site_fract_x
_atom_site_fract_y
_atom_site_fract_z
Rb1 Rb 0.169 0.331 0.000
Na1 Na 0.000 0.000 0.500
Bi1 Bi 0.126 0.626 0.500
```

Output
spin magnetization	0.00	μB per cell
calculated formation energy	-0.28	eV/atom

[2]
The following is a PBEsol calculation of a relaxed La2AgPt2 crystal, from Alexandria via LeMat-Bulk.

```
data_La2AgPt2
_chemical_formula_sum 'La4 Ag2 Pt4'
_space_group_name_H-M_alt 'P 4/m b m'
_space_group_IT_number 127
_space_group_name_Hall '-P 4 2ab'
_cell_length_a 7.711
_cell_length_b 7.711
_cell_length_c 3.894
_cell_angle_alpha 90.00
_cell_angle_beta 90.00
_cell_angle_gamma 90.00
loop_
_atom_site_label
_atom_site_type_symbol
_atom_site_fract_x
_atom_site_fract_y
_atom_site_fract_z
La1 La 0.170 0.330 0.000
Ag1 Ag 0.000 0.000 0.500
Pt1 Pt 0.133 0.633 0.500
```

Output
spin magnetization	0.00	μB per cell
calculated formation energy	-0.87	eV/atom

[3]
The following is a PBEsol calculation of a relaxed Fe2AgBr crystal, from Alexandria via LeMat-Bulk.

```
data_Fe2AgBr
_chemical_formula_sum 'Fe4 Ag2 Br2'
_space_group_name_H-M_alt 'C m m m'
_space_group_IT_number 65
_space_group_name_Hall '-C 2 2'
_cell_length_a 6.375
_cell_length_b 6.384
_cell_length_c 3.002
_cell_angle_alpha 90.00
_cell_angle_beta 90.00
_cell_angle_gamma 90.00
loop_
_atom_site_label
_atom_site_type_symbol
_atom_site_fract_x
_atom_site_fract_y
_atom_site_fract_z
Fe1 Fe 0.250 0.250 0.000
Ag1 Ag 0.000 0.000 0.500
Br1 Br 0.000 0.500 0.500
```

Output
spin magnetization	12.06	μB per cell
formation energy (no corrections)	0.726	eV/atom

[4]
The following is a PBEsol calculation of a relaxed Gd3CCl3 crystal, from Alexandria via LeMat-Bulk.

```
data_Gd3CCl3
_chemical_formula_sum 'Gd24 C8 Cl24'
_space_group_name_H-M_alt 'I 41 3 2'
_space_group_IT_number 214
_space_group_name_Hall 'I 4bd 2c 3'
_cell_length_a 10.632
_cell_length_b 10.632
_cell_length_c 10.632
_cell_angle_alpha 90.00
_cell_angle_beta 90.00
_cell_angle_gamma 90.00
loop_
_atom_site_label
_atom_site_type_symbol
_atom_site_fract_x
_atom_site_fract_y
_atom_site_fract_z
Gd1 Gd 0.109 0.359 0.125
C1 C 0.125 0.125 0.125
Cl1 Cl 0.117 0.133 0.625
```

Output
spin magnetization	168.39	μB per cell
formation energy (no corrections)	-1.606	eV/atom

[5]
The following is a PBEsol calculation of a relaxed Na2O crystal, from Alexandria via LeMat-Bulk.

```
data_Na2O
_chemical_formula_sum 'Na8 O4'
_space_group_name_H-M_alt 'F m -3 m'
_space_group_IT_number 225
_space_group_name_Hall '-F 4 2 3'
_cell_length_a 5.527
_cell_length_b 5.527
_cell_length_c 5.527
_cell_angle_alpha 90.00
_cell_angle_beta 90.00
_cell_angle_gamma 90.00
loop_
_atom_site_label
_atom_site_type_symbol
_atom_site_fract_x
_atom_site_fract_y
_atom_site_fract_z
Na1 Na 0.250 0.250 0.250
O1 O 0.000 0.000 0.000
```

Output
spin magnetization	0.23	μB per cell
formation energy (no corrections)	-1.202	eV/atom

[6]
The following is a PBEsol calculation of a relaxed Li2CdP2 crystal, from Alexandria via LeMat-Bulk.

```
data_Li2CdP2
_chemical_formula_sum 'Li4 Cd2 P4'
_space_group_name_H-M_alt 'P 4/m b m'
_space_group_IT_number 127
_space_group_name_Hall '-P 4 2ab'
_cell_length_a 6.501
_cell_length_b 6.501
_cell_length_c 4.048
_cell_angle_alpha 90.00
_cell_angle_beta 90.00
_cell_angle_gamma 90.00
loop_
_atom_site_label
_atom_site_type_symbol
_atom_site_fract_x
_atom_site_fract_y
_atom_site_fract_z
Li1 Li 0.170 0.330 0.000
Cd1 Cd 0.000 0.000 0.500
P1 P 0.120 0.620 0.500
```

Output
spin magnetization	0.00	μB per cell
calculated formation energy	-0.34	eV/atom

[7]
The following is a PBEsol calculation of a relaxed Y3As crystal, from Alexandria via LeMat-Bulk.

```
data_Y3As
_chemical_formula_sum 'Y6 As2'
_space_group_name_H-M_alt 'I m m m'
_space_group_IT_number 71
_space_group_name_Hall '-I 2 2'
_cell_length_a 3.719
_cell_length_b 5.030
_cell_length_c 11.139
_cell_angle_alpha 90.00
_cell_angle_beta 90.00
_cell_angle_gamma 90.00
loop_
_atom_site_label
_atom_site_type_symbol
_atom_site_fract_x
_atom_site_fract_y
_atom_site_fract_z
Y1 Y 0.000 0.000 0.000
Y2 Y 0.000 0.500 0.202
As1 As 0.000 0.000 0.500
```

Output
spin magnetization	0.00	μB per cell
calculated formation energy	-0.60	eV/atom

[8]
The following is a PBEsol calculation of a relaxed SbMo2P crystal, from Alexandria via LeMat-Bulk.

```
data_SbMo2P
_chemical_formula_sum 'Sb1 Mo2 P1'
_space_group_name_H-M_alt 'P 4/m m m'
_space_group_IT_number 123
_space_group_name_Hall '-P 4 2'
_cell_length_a 4.429
_cell_length_b 4.429
_cell_length_c 3.168
_cell_angle_alpha 90.00
_cell_angle_beta 90.00
_cell_angle_gamma 90.00
loop_
_atom_site_label
_atom_site_type_symbol
_atom_site_fract_x
_atom_site_fract_y
_atom_site_fract_z
Sb1 Sb 0.000 0.000 0.000
Mo1 Mo 0.000 0.500 0.500
P1 P 0.500 0.500 0.000
```

Output
spin magnetization	0.00	μB per cell
formation energy (no corrections)	0.057	eV/atom

[9]
The following is a PBEsol calculation of a relaxed ZnOsRu2 crystal, from Alexandria via LeMat-Bulk.

```
data_ZnOsRu2
_chemical_formula_sum 'Zn2 Os2 Ru4'
_space_group_name_H-M_alt 'C 1 2/m 1'
_space_group_IT_number 12
_cell_length_a 8.852
_cell_length_b 2.686
_cell_length_c 4.599
_cell_angle_alpha 90.00
_cell_angle_beta 99.06
_cell_angle_gamma 90.00
loop_
_space_group_symop_operation_xyz
'x,y,z'
'-x,-y,-z'
'-x,y,-z'
'x,-y,z'
'x+1/2,y+1/2,z'
'-x+1/2,-y+1/2,-z'
'-x+1/2,y+1/2,-z'
'x+1/2,-y+1/2,z'
loop_
_atom_site_label
_atom_site_type_symbol
_atom_site_fract_x
_atom_site_fract_y
_atom_site_fract_z
Zn1 Zn 0.000 0.000 0.000
Os1 Os 0.000 0.500 0.500
Ru1 Ru 0.244 0.000 0.748
```

Output
spin magnetization	0.00	μB per cell
calculated formation energy	0.20	eV/atom

[10]
The following is a PBEsol calculation of a relaxed InIr2Se crystal, from Alexandria via LeMat-Bulk.

```
data_InIr2Se
_chemical_formula_sum 'In2 Ir4 Se2'
_space_group_name_H-M_alt 'C m m m'
_space_group_IT_number 65
_space_group_name_Hall '-C 2 2'
_cell_length_a 5.955
_cell_length_b 7.190
_cell_length_c 3.008
_cell_angle_alpha 90.00
_cell_angle_beta 90.00
_cell_angle_gamma 90.00
loop_
_atom_site_label
_atom_site_type_symbol
_atom_site_fract_x
_atom_site_fract_y
_atom_site_fract_z
In1 In 0.000 0.000 0.000
Ir1 Ir 0.250 0.250 0.500
Se1 Se 0.000 0.500 0.000
```

Output
spin magnetization	0.00	μB per cell
formation energy (no corrections)	0.269	eV/atom